No. 1
A relaxed LaTb2Sb crystal, computed with GGA-PBE.

Cell: 6.5612 6.5612 9.8351 Å, 90.00 90.00 143.29°
With the nearest neighbours (Å) after each atom.
Fractional coordinates of all 8 atoms:
La1 0.0552 0.9448 0.7500  3 Sb 3.34-3.60, 4 Tb 3.66
La2 0.9448 0.0552 0.2500  3 Sb 3.34-3.60, 4 Tb 3.66
Tb1 0.3607 0.6393 0.5382  3 Sb 3.16-3.25, 2 Tb 3.53
Tb2 0.3607 0.6393 0.9618  3 Sb 3.16-3.25, 2 Tb 3.53
Tb3 0.6393 0.3607 0.0382  3 Sb 3.16-3.25, 2 Tb 3.53
Tb4 0.6393 0.3607 0.4618  3 Sb 3.16-3.25, 2 Tb 3.53
Sb1 0.2337 0.7663 0.2500  6 Tb 3.16-3.25, 2 La 3.34
Sb2 0.7663 0.2337 0.7500  6 Tb 3.16-3.25, 2 La 3.34

Spin magnetization = 0.892 μB per cell
Density = 7.6 g cm⁻³
Energy = -5.154 eV per atom
Offset from the most stable computed form = 0.0000 eV per atom
Uncorrected formation energy = -13.3 kcal/mol of atoms
Fermi-level density of states = 11.60 states/eV per cell
V = 31.64 Å³/atom

***

No. 2
A relaxed CeCdSb2 crystal, computed with GGA-PBE.

Cell: 7.3387 7.3387 7.3387 Å, 35.82 35.82 35.82°
With the nearest neighbours (Å) after each atom.
Fractional coordinates of all 4 atoms:
Ce1 0.0000 0.0000 0.0000  6 Sb 3.12-3.13
Cd1 0.8283 0.8283 0.8283  6 Sb 3.06-3.17
Sb1 0.4168 0.4168 0.4168  3 Cd 3.06, 3 Ce 3.12, 1 Sb 3.41
Sb2 0.5826 0.5826 0.5826  3 Ce 3.13, 3 Cd 3.17, 1 Sb 3.41

Spin magnetization = 0.325 μB per cell
Density = 6.8 g cm⁻³
Energy = -4.184 eV per atom
Offset from the most stable computed form = 0.1810 eV per atom
Uncorrected formation energy = -9.5 kcal/mol of atoms
Fermi-level density of states = 4.23 states/eV per cell
V = 30.26 Å³/atom

***

No. 3
A relaxed KAu2 crystal, computed with GGA-PBE.

Cell: 7.3879 7.3879 7.3879 Å, 140.90 137.62 59.02°
With the nearest neighbours (Å) after each atom.
Fractional coordinates of all 6 atoms:
K1 0.3879 0.1379 0.2500  10 Au 3.32-3.72
K2 0.6121 0.8621 0.7500  10 Au 3.32-3.72
Au1 0.0000 0.5000 0.5000  4 Au 2.67-2.86
Au2 0.0530 0.3030 0.7500  4 Au 2.82-2.86
Au3 0.5000 0.5000 0.0000  4 Au 2.67-2.86
Au4 0.9470 0.6970 0.2500  4 Au 2.82-2.86

Spin magnetization = 0.000 μB per cell
Density = 8.5 g cm⁻³
Energy = -2.780 eV per atom
Fermi-level density of states = 2.02 states/eV per cell
V = 28.30 Å³/atom
Energy of formation = -22 kJ/mol of atoms

***

No. 4
A relaxed KPPbO6 crystal, computed with GGA-PBE.

Cell: 5.2735 5.2735 5.9202 Å, 90.00 90.00 120.00°
With the nearest neighbours (Å) after each atom.
Fractional coordinates of all 9 atoms:
K1 0.0000 0.0000 0.0000  6 O 2.79
P1 0.6667 0.3333 0.5000  6 O 1.71
Pb1 0.3333 0.6667 0.5000  6 O 2.20
O1 0.4118 0.0701 0.6727  1 P 1.71
O2 0.4118 0.3418 0.3273  1 P 1.71
O3 0.6582 0.0701 0.3273  1 P 1.71
O4 0.6582 0.5882 0.6727  1 P 1.71
O5 0.9299 0.3418 0.6727  1 P 1.71
O6 0.9299 0.5882 0.3273  1 P 1.71

Spin magnetization = 2.002 μB per cell
Density = 4.3 g cm⁻³
Energy = -5.614 eV per atom
Uncorrected formation energy = -27.1 kcal/mol of atoms
Fermi-level density of states = 4.14 states/eV per cell
V = 15.84 Å³/atom

***

No. 5
A relaxed La2YMg6 crystal, computed with GGA-PBE.

Cell: 9.2237 9.2237 3.3904 Å, 90.00 90.00 120.00°
With the nearest neighbours (Å) after each atom.
Fractional coordinates of all 9 atoms:
La1 0.3333 0.6667 0.0000  2 La 3.39, 12 Mg 3.53
La2 0.6667 0.3333 0.0000  2 La 3.39, 12 Mg 3.53
Y1 0.0000 0.0000 0.0000  2 Y 3.39, 12 Mg 3.47
Mg1 0.0000 0.3279 0.5000  3 Mg 3.02-3.17
Mg2 0.0000 0.6721 0.5000  3 Mg 3.02-3.17
Mg3 0.3279 0.0000 0.5000  3 Mg 3.02-3.17
Mg4 0.3279 0.3279 0.5000  3 Mg 3.02-3.17
Mg5 0.6721 0.0000 0.5000  3 Mg 3.02-3.17
Mg6 0.6721 0.6721 0.5000  3 Mg 3.02-3.17

Spin magnetization = 0.000 μB per cell
Density = 3.4 g cm⁻³
Energy = -2.976 eV per atom
Fermi-level density of states = 8.30 states/eV per cell
V = 27.76 Å³/atom
Energy of formation = -10 kJ/mol of atoms

***

No. 6
A relaxed TaReAg2 crystal, computed with GGA-PBE.

Cell: 3.5535 3.5535 5.4084 Å, 90.00 90.00 90.00°
With the nearest neighbours (Å) after each atom.
Fractional coordinates of all 4 atoms:
Ta1 0.0000 0.0000 0.0000  2 Re 2.70, 8 Ag 2.86
Re1 0.0000 0.0000 0.5000  2 Ta 2.70, 8 Ag 2.85
Ag1 0.5000 0.5000 0.2526  2 Ag 2.68-2.73, 4 Re 2.85, 4 Ta 2.86
Ag2 0.5000 0.5000 0.7474  2 Ag 2.68-2.73, 4 Re 2.85, 4 Ta 2.86

Spin magnetization = 0.000 μB per cell
Density = 14.2 g cm⁻³
Energy = -6.705 eV per atom
Offset from the most stable computed form = 0.5726 eV per atom
Fermi-level density of states = 3.90 states/eV per cell
V = 17.07 Å³/atom
Energy of formation = 77 kJ/mol of atoms